Record 1
CoCuBr2 | PBE-GGA | relaxed

a = 6.6503 Å, b = 6.6503 Å, c = 6.6503 Å
α = 90.00°, β = 90.00°, γ = 90.00°
Space group Fm-3m (No. 225)
Inequivalent atoms, fractional coordinates:
Co 0.0000 0.0000 0.0000 [4 per cell]
Cu 0.0000 0.0000 0.5000 [4 per cell]
Br 0.2500 0.2500 0.2500 [8 per cell]

Summary:
The theoretical density comes out at 6375 kg/m³. Its magnetic moment is 2.0 μB/f.u. The calculation puts the energy relative to the elements, uncorrected at 0.501 eV/atom. The calculation puts the energy relative to the lowest polymorph listed for this composition at 51.5 kJ/mol of atoms.


Record 2
ErAgAu | PBE-GGA | relaxed

a = 4.6655 Å, b = 9.4298 Å, c = 5.8488 Å
α = 90.00°, β = 90.00°, γ = 90.00°
Space group Cmcm (No. 63)
Inequivalent atoms, fractional coordinates:
Er 0.0000 0.1939 0.2500 [4 per cell]
Ag 0.0000 0.5000 0.0000 [4 per cell]
Au 0.0000 0.1208 0.7500 [4 per cell]

Summary:
The theoretical density comes out at 12186 kg/m³. Its magnetic moment is 0.0 μB/f.u. The value obtained for the formation energy is -0.620 eV/atom. The calculation puts the energy relative to the lowest polymorph listed for this composition at 0.8 kJ/mol of atoms.


Record 3
RbAl2AsCl | PBE-GGA | relaxed

a = 6.6863 Å, b = 6.6863 Å, c = 5.4677 Å
α = 90.00°, β = 90.00°, γ = 90.00°
Space group P4/mmm (No. 123)
Inequivalent atoms, fractional coordinates:
Rb 0.0000 0.0000 0.0000 [1 per cell]
Al 0.0000 0.5000 0.0000 [2 per cell]
As 0.0000 0.0000 0.5000 [1 per cell]
Cl 0.5000 0.5000 0.5000 [1 per cell]

Summary:
The theoretical density comes out at 1697 kg/m³. Its magnetic moment is 0.0 μB/f.u. The calculation puts the energy relative to the elements, uncorrected at 1.239 eV/atom.


Record 4
KSF4 | PBE-GGA | relaxed

a = 6.4277 Å, b = 6.4277 Å, c = 6.2656 Å
α = 90.00°, β = 90.00°, γ = 90.00°
Space group I-4m2 (No. 119)
Inequivalent atoms, fractional coordinates:
K 0.0000 0.0000 0.0000 [2 per cell]
S 0.0000 0.5000 0.7500 [2 per cell]
F 0.1992 0.3008 0.7500 [8 per cell]

Summary:
The theoretical density comes out at 1888 kg/m³. Its magnetic moment is 1.0 μB/f.u. The calculation puts the energy relative to the elements, uncorrected at -1.810 eV/atom. The calculation puts the energy relative to the lowest polymorph listed for this composition at 0.0 kJ/mol of atoms.


Record 5
TbNd3Bi4 | PBE-GGA | relaxed

a = 6.4757 Å, b = 6.4757 Å, c = 6.4757 Å
α = 90.00°, β = 90.00°, γ = 90.00°
Space group Pm-3m (No. 221)
Inequivalent atoms, fractional coordinates:
Tb 0.0000 0.0000 0.0000 [1 per cell]
Nd 0.0000 0.5000 0.5000 [3 per cell]
Bi 0.0000 0.0000 0.5000 [3 per cell]
Bi 0.5000 0.5000 0.5000 [1 per cell]

Summary:
The theoretical density comes out at 8730 kg/m³. Its magnetic moment is 0.0 μB/f.u. The value obtained for the formation energy is -0.932 eV/atom. The calculation puts the energy relative to the lowest polymorph listed for this composition at 0.0 kJ/mol of atoms.


Record 6
CaBeRe2 | PBE-GGA | relaxed

a = 2.6693 Å, b = 2.6693 Å, c = 8.6272 Å
α = 90.00°, β = 90.00°, γ = 90.00°
Space group P4/mmm (No. 123)
Inequivalent atoms, fractional coordinates:
Ca 0.0000 0.0000 0.0000 [1 per cell]
Be 0.0000 0.0000 0.5000 [1 per cell]
Re 0.5000 0.5000 0.2996 [2 per cell]

Summary:
The theoretical density comes out at 11387 kg/m³. Its magnetic moment is 0.0 μB/f.u. The value obtained for the formation energy is 0.526 eV/atom.


Record 7
LiMnAl2 | PBE-GGA | relaxed

a = 3.2057 Å, b = 3.2057 Å, c = 5.7130 Å
α = 90.00°, β = 90.00°, γ = 90.00°
Space group P4mm (No. 99)
Inequivalent atoms, fractional coordinates:
Li 0.0000 0.0000 0.0000 [1 per cell]
Mn 0.5000 0.5000 0.2491 [1 per cell]
Al 0.0000 0.0000 0.4722 [1 per cell]
Al 0.5000 0.5000 0.7584 [1 per cell]

Summary:
The theoretical density comes out at 3276 kg/m³. Its magnetic moment is 3.0 μB/f.u. The value obtained for the formation energy is 0.021 eV/atom.


Record 8
LiDySc2S4 | PBE-GGA | relaxed

a = 6.4649 Å, b = 3.7436 Å, c = 6.5644 Å
α = 90.00°, β = 109.12°, γ = 90.00°
Space group P2/m (No. 10)
Inequivalent atoms, fractional coordinates:
Li 0.0000 0.0000 0.0000 [1 per cell]
Dy 0.5000 0.5000 0.0000 [1 per cell]
Sc 0.0000 0.5000 0.5000 [1 per cell]
Sc 0.5000 0.0000 0.5000 [1 per cell]
S 0.2392 0.0000 0.7402 [2 per cell]
S 0.2479 0.5000 0.2583 [2 per cell]

Summary:
The theoretical density comes out at 4288 kg/m³. Its magnetic moment is 0.0 μB/f.u. The calculation puts the energy relative to the elements, uncorrected at -1.874 eV/atom.


Record 9
LaTb3Sm | PBE-GGA | relaxed

a = 3.6665 Å, b = 11.7384 Å, c = 8.6542 Å
α = 90.00°, β = 102.21°, γ = 90.00°
Space group P2_1/m (No. 11)
Inequivalent atoms, fractional coordinates:
La 0.1906 0.2500 0.3788 [2 per cell]
Tb 0.1473 0.7500 0.2935 [2 per cell]
Tb 0.3443 0.0030 0.6903 [4 per cell]
Sm 0.4844 0.7500 0.9670 [2 per cell]

Summary:
The theoretical density comes out at 6988 kg/m³. Its magnetic moment is 0.0 μB/f.u. The value obtained for the formation energy is 0.319 eV/atom. The calculation puts the energy relative to the lowest polymorph listed for this composition at 28.1 kJ/mol of atoms.


Record 10
BaCaMg | PBE-GGA | relaxed

a = 4.2265 Å, b = 4.2265 Å, c = 13.9785 Å
α = 90.00°, β = 90.00°, γ = 90.00°
Space group I4mm (No. 107)
Inequivalent atoms, fractional coordinates:
Ba 0.0000 0.0000 0.0000 [2 per cell]
Ca 0.0000 0.0000 0.2859 [2 per cell]
Mg 0.0000 0.0000 0.6652 [2 per cell]

Summary:
The theoretical density comes out at 2683 kg/m³. Its magnetic moment is 0.0 μB/f.u. The value obtained for the formation energy is -0.023 eV/atom. The calculation puts the energy relative to the lowest polymorph listed for this composition at 0.0 kJ/mol of atoms.


Record 11
MgRuPt2 | PBE-GGA | relaxed

a = 5.5987 Å, b = 7.7161 Å, c = 2.8049 Å
α = 90.00°, β = 90.00°, γ = 90.00°
Space group Cmmm (No. 65)
Inequivalent atoms, fractional coordinates:
Mg 0.0000 0.0000 0.0000 [2 per cell]
Ru 0.0000 0.5000 0.0000 [2 per cell]
Pt 0.2500 0.2500 0.5000 [4 per cell]

Summary:
The theoretical density comes out at 14130 kg/m³. Its magnetic moment is 0.0 μB/f.u. The value obtained for the formation energy is -0.384 eV/atom.


Record 12
ScTi5S6 | PBE-GGA | relaxed

a = 6.1338 Å, b = 10.7433 Å, c = 6.0992 Å
α = 90.00°, β = 109.40°, γ = 90.00°
Space group C2/m (No. 12)
Inequivalent atoms, fractional coordinates:
Sc 0.0000 0.0000 0.0000 [2 per cell]
Ti 0.0000 0.1807 0.5000 [4 per cell]
Ti 0.0000 0.3212 0.0000 [4 per cell]
Ti 0.0000 0.5000 0.5000 [2 per cell]
S 0.2464 0.3346 0.7467 [8 per cell]
S 0.2460 0.5000 0.2534 [4 per cell]

Summary:
The theoretical density comes out at 4176 kg/m³. Its magnetic moment is 0.0 μB/f.u. The calculation puts the energy relative to the elements, uncorrected at -1.311 eV/atom.